1.
VASP calculation (meta-GGA SCAN) on HfMnIN2 at its PBEsol-relaxed geometry. Values from VASP.

Theoretical density   6.6 g/cm3
Uncorrected energy   -27.046 eV per atom
Formation energy from raw total energies   205 meV per atom
Crystal system   tetragonal
Space group   P4/mmm

```
&SYSTEM
  ibrav = 0, nat = 5, ntyp = 4
/
ATOMIC_SPECIES
I 126.90 I.upf
N 14.01 N.upf
Hf 178.49 Hf.upf
Mn 54.94 Mn.upf
CELL_PARAMETERS angstrom
-3.978 0.488 -0.871
-0.385 -4.052 -0.510
-1.299 -0.583 5.605
ATOMIC_POSITIONS crystal
I 0.000 0.000 0.500
N 0.000 0.500 0.000
Hf 0.000 0.000 0.000
N 0.500 0.000 0.000
Mn 0.500 0.500 0.500
```

2.
VASP calculation (meta-GGA SCAN) on HfMnNbI2 at its PBEsol-relaxed geometry. Values from VASP.

Theoretical density   6.5 g/cm3
Uncorrected energy   -36.539 eV per atom
Formation energy from raw total energies   969 meV per atom
Crystal system   tetragonal
Space group   P4/mmm

```
&SYSTEM
  ibrav = 0, nat = 5, ntyp = 4
/
ATOMIC_SPECIES
Nb 92.91 Nb.upf
Mn 54.94 Mn.upf
Hf 178.49 Hf.upf
I 126.90 I.upf
CELL_PARAMETERS angstrom
-0.669 -5.054 0.181
5.167 -0.631 1.470
-1.433 0.376 5.202
ATOMIC_POSITIONS crystal
Nb 0.000 0.000 0.000
Mn 0.500 0.500 0.500
Hf 0.500 0.000 0.000
I 0.000 0.500 0.000
I 0.000 0.000 0.500
```

3.
VASP calculation (meta-GGA SCAN) on SrHfMnI2 at its PBEsol-relaxed geometry. Values from VASP.

Theoretical density   6.4 g/cm3
Uncorrected energy   -34.595 eV per atom
Formation energy from raw total energies   742 meV per atom
Crystal system   tetragonal
Space group   P4/mmm

```
&SYSTEM
  ibrav = 0, nat = 5, ntyp = 4
/
ATOMIC_SPECIES
Hf 178.49 Hf.upf
I 126.90 I.upf
Sr 87.62 Sr.upf
Mn 54.94 Mn.upf
CELL_PARAMETERS angstrom
-1.457 1.842 -4.681
-5.025 -0.304 1.444
0.246 5.107 1.933
ATOMIC_POSITIONS crystal
Hf 0.500 0.500 0.500
I 0.000 0.500 0.000
Sr 0.000 0.000 0.500
I 0.500 0.000 0.000
Mn 0.000 0.000 0.000
```

4.
VASP calculation (meta-GGA SCAN) on HfMnTeI2 at its PBEsol-relaxed geometry. Values from VASP.

Theoretical density   5.9 g/cm3
Uncorrected energy   -38.344 eV per atom
Formation energy from raw total energies   -11 meV per atom
Crystal system   tetragonal
Space group   P4/mmm

```
&SYSTEM
  ibrav = 0, nat = 5, ntyp = 4
/
ATOMIC_SPECIES
Hf 178.49 Hf.upf
Mn 54.94 Mn.upf
I 126.90 I.upf
Te 127.60 Te.upf
CELL_PARAMETERS angstrom
-4.376 -2.079 2.618
-2.027 -1.864 -4.869
2.724 -4.833 0.716
ATOMIC_POSITIONS crystal
Hf 0.000 0.000 0.000
Mn 0.500 0.500 0.500
I 0.000 0.500 0.000
Te 0.500 0.000 0.000
I 0.000 0.000 0.500
```